1.
{
  "formula": "AlFe2",
  "functional": "SCAN",
  "state": "single point on PBEsol structure",
  "magmom_total_mub_per_fu": 4.8,
  "crystal_system": "tetragonal",
  "ef_ev_per_atom": 0.047,
  "n_ef_per_ev_cell": 2.47,
  "space_group": "I4/mcm",
  "cell": [[4.590, 0.005, 0.000], [-2.003, 4.130, 0.000], [-1.293, -2.067, 3.889]],
  "species": ["Fe", "Fe", "Fe", "Fe", "Al", "Al"],
  "frac_coords": [[0.646, 0.146, 0.793], [0.146, 0.354, 0.500], [0.354, 0.854, 0.207], [0.854, 0.646, 0.500], [0.750, 0.750, 0.000], [0.250, 0.250, 0.000]]
}



2.
{
  "formula": "Al2Fe",
  "functional": "SCAN",
  "state": "single point on PBEsol structure",
  "magmom_total_mub_per_fu": 0.0,
  "crystal_system": "cubic",
  "ef_ev_per_atom": -0.236,
  "n_ef_per_ev_cell": 11.66,
  "space_group": "Fd-3m",
  "cell": [[-1.344, 7.522, 0.066], [-6.598, 2.678, 2.771], [-0.097, 3.806, 6.625]],
  "species": ["Al", "Al", "Al", "Al", "Al", "Al", "Al", "Al", "Al", "Al", "Al", "Al", "Al", "Al", "Al", "Al", "Fe", "Fe", "Fe", "Fe", "Fe", "Fe", "Fe", "Fe"],
  "frac_coords": [[0.299, 0.299, 0.701], [0.299, 0.701, 0.701], [0.549, 0.951, 0.549], [0.701, 0.299, 0.299], [0.125, 0.125, 0.625], [0.299, 0.701, 0.299], [0.701, 0.701, 0.299], [0.951, 0.549, 0.549], [0.125, 0.625, 0.125], [0.951, 0.549, 0.951], [0.549, 0.951, 0.951], [0.549, 0.549, 0.951], [0.625, 0.125, 0.125], [0.951, 0.951, 0.549], [0.701, 0.299, 0.701], [0.125, 0.125, 0.125], [0.276, 0.908, 0.908], [0.342, 0.342, 0.974], [0.908, 0.908, 0.908], [0.342, 0.342, 0.342], [0.908, 0.276, 0.908], [0.974, 0.342, 0.342], [0.908, 0.908, 0.276], [0.342, 0.974, 0.342]]
}



3.
{
  "formula": "Al2Fe",
  "functional": "SCAN",
  "state": "single point on PBEsol structure",
  "magmom_total_mub_per_fu": 0.5,
  "crystal_system": "orthorhombic",
  "ef_ev_per_atom": -0.261,
  "n_ef_per_ev_cell": 6.20,
  "space_group": "Pnma",
  "cell": [[3.996, 0.000, 0.000], [0.000, 4.915, 0.000], [0.000, 0.000, 7.693]],
  "species": ["Al", "Al", "Al", "Al", "Al", "Al", "Al", "Al", "Fe", "Fe", "Fe", "Fe"],
  "frac_coords": [[0.250, 0.656, 0.950], [0.750, 0.344, 0.050], [0.250, 0.156, 0.550], [0.250, 0.096, 0.199], [0.750, 0.844, 0.450], [0.250, 0.596, 0.301], [0.750, 0.904, 0.801], [0.750, 0.404, 0.699], [0.750, 0.839, 0.127], [0.750, 0.339, 0.373], [0.250, 0.661, 0.627], [0.250, 0.161, 0.873]]
}



4.
{
  "formula": "Al2Fe",
  "functional": "SCAN",
  "state": "single point on PBEsol structure",
  "magmom_total_mub_per_fu": 1.3,
  "crystal_system": "tetragonal",
  "ef_ev_per_atom": -0.271,
  "n_ef_per_ev_cell": 1.08,
  "space_group": "P4/mmm",
  "cell": [[2.615, 0.000, 0.000], [0.000, 4.124, 0.000], [0.000, 0.000, 4.124]],
  "species": ["Fe", "Al", "Al"],
  "frac_coords": [[0.500, 0.000, 0.000], [0.000, 0.000, 0.500], [0.000, 0.500, 0.000]]
}